[1]
TaNb3Ga | PBEsol | relaxed

For the calculated volume, the calculation gives 101.7 Å³/cell. The symmetry is Pm-3m (221). As for the density of states at the Fermi level: 5.35 states/eV/cell. The formation energy comes out at 1.162 eV per atom.

Cell lengths 4.6674, 4.6674, 4.6674 Å; angles 90.00, 90.00, 90.00 degrees
Closest atoms and distances in Å follow each position.
Fractional positions:
Nb1 0.0000 0.5000 0.0000  2 Ga 2.33
Nb2 0.5000 0.0000 0.0000  2 Ga 2.33
Nb3 0.0000 0.0000 0.5000  2 Ga 2.33
Ga1 0.0000 0.0000 0.0000  6 Nb 2.33
Ta1 0.5000 0.5000 0.5000  12 Nb 3.30


[2]
RbSrBe2Re | PBEsol | relaxed

For the calculated volume, the calculation gives 116.1 Å³/cell. The symmetry is P4/mmm (123). As for the density of states at the Fermi level: 2.89 states/eV/cell. The formation energy comes out at 1.006 eV per atom.

Cell lengths 4.6813, 4.6813, 5.2992 Å; angles 90.00, 90.00, 90.00 degrees
Closest atoms and distances in Å follow each position.
Fractional positions:
Be1 0.0000 0.5000 0.0000  2 Re 2.34
Be2 0.5000 0.0000 0.0000  2 Re 2.34
Sr1 0.0000 0.0000 0.5000  2 Re 2.65
Rb1 0.5000 0.5000 0.5000  4 Sr 3.31, 8 Be 3.54
Re1 0.0000 0.0000 0.0000  4 Be 2.34


[3]
In2BiSe4I | PBEsol | relaxed

For the calculated volume, the calculation gives 923.0 Å³/cell. The symmetry is Pnma (62). The uncorrected formation energy comes out at -0.463 eV/atom.

Cell lengths 4.0900, 13.5984, 16.5950 Å; angles 90.00, 90.00, 90.00 degrees
Closest atoms and distances in Å follow each position.
Fractional positions:
Se1 0.7500 0.6118 0.0190  3 In 2.61-2.72
Se2 0.7500 0.2773 0.1653  3 In 2.61-2.76
Se3 0.2500 0.6076 0.4594  1 Bi 2.73, 2 In 2.97
Se4 0.2500 0.8882 0.5190  3 In 2.61-2.72
Se5 0.7500 0.3924 0.5406  1 Bi 2.73, 2 In 2.97
Se6 0.2500 0.3882 0.9810  3 In 2.61-2.72
Se7 0.2500 0.3249 0.3546  1 In 2.66, 2 Bi 2.85
Se8 0.7500 0.8924 0.9594  1 Bi 2.73, 2 In 2.97
Se9 0.7500 0.1751 0.8546  1 In 2.66, 2 Bi 2.85
Se10 0.2500 0.2227 0.6653  3 In 2.61-2.76
Se11 0.2500 0.8249 0.1454  1 In 2.66, 2 Bi 2.85
Se12 0.2500 0.7227 0.8347  3 In 2.61-2.76
Se13 0.7500 0.6751 0.6454  1 In 2.66, 2 Bi 2.85
Se14 0.7500 0.7773 0.3347  3 In 2.61-2.76
Se15 0.2500 0.1076 0.0406  1 Bi 2.73, 2 In 2.97
Se16 0.7500 0.1118 0.4810  3 In 2.61-2.72
In1 0.7500 0.2580 0.9996  6 Se 2.66-2.97
In2 0.7500 0.1077 0.6382  3 Se 2.61, 1 I 2.73
In3 0.2500 0.3923 0.1382  3 Se 2.61, 1 I 2.73
In4 0.2500 0.8923 0.3618  3 Se 2.61, 1 I 2.73
In5 0.7500 0.7580 0.5004  6 Se 2.66-2.97
In6 0.2500 0.7420 0.0004  6 Se 2.66-2.97
In7 0.2500 0.2420 0.4996  6 Se 2.66-2.97
In8 0.7500 0.6077 0.8618  3 Se 2.61, 1 I 2.73
Bi1 0.7500 0.4648 0.3872  3 Se 2.73-2.85
Bi2 0.2500 0.0352 0.8872  3 Se 2.73-2.85
Bi3 0.2500 0.5352 0.6128  3 Se 2.73-2.85
Bi4 0.7500 0.9648 0.1128  3 Se 2.73-2.85
I1 0.7500 0.9364 0.7244  1 In 2.73
I2 0.2500 0.0636 0.2756  1 In 2.73
I3 0.2500 0.5636 0.2244  1 In 2.73
I4 0.7500 0.4364 0.7756  1 In 2.73


[4]
Be3FeH | PBEsol | relaxed

For the calculated volume, the calculation gives 62.6 Å³/cell. The energy comes out at -3.35 eV/atom. The symmetry is Pm-3m (221). As for the density of states at the Fermi level: 3.64 states/eV/cell.

Cell lengths 3.9699, 3.9699, 3.9699 Å; angles 90.00, 90.00, 90.00 degrees
Closest atoms and distances in Å follow each position.
Fractional positions:
Be1 0.0000 0.5000 0.0000  2 Fe 1.98
Be2 0.0000 0.0000 0.5000  2 Fe 1.98
Be3 0.5000 0.0000 0.0000  2 Fe 1.98
Fe1 0.0000 0.0000 0.0000  6 Be 1.98
H1 0.5000 0.5000 0.5000  12 Be 2.81


[5]
K3Au | PBEsol | relaxed

For the calculated volume, the calculation gives 689.4 Å³/cell. The symmetry is Pnma (62). As for the density of states at the Fermi level: 6.49 states/eV/cell. The formation energy comes out at -0.086 eV per atom.

Cell lengths 7.3025, 9.0168, 10.4695 Å; angles 90.00, 90.00, 90.00 degrees
Closest atoms and distances in Å follow each position.
Fractional positions:
K1 0.6557 0.1673 0.9371  3 Au 3.38-3.62
K2 0.3443 0.8327 0.0629  3 Au 3.38-3.62
K3 0.3443 0.8327 0.4371  3 Au 3.38-3.62
K4 0.6294 0.4646 0.2500  2 Au 3.32-3.40
K5 0.6557 0.1673 0.5629  3 Au 3.38-3.62
K6 0.3706 0.5354 0.7500  2 Au 3.32-3.40
K7 0.8443 0.6673 0.5629  3 Au 3.38-3.62
K8 0.1294 0.0354 0.7500  2 Au 3.32-3.40
K9 0.8706 0.9646 0.2500  2 Au 3.32-3.40
K10 0.1557 0.3327 0.4371  3 Au 3.38-3.62
K11 0.8443 0.6673 0.9371  3 Au 3.38-3.62
K12 0.1557 0.3327 0.0629  3 Au 3.38-3.62
Au1 0.5501 0.8738 0.7500  8 K 3.32-3.62
Au2 0.9499 0.3738 0.7500  8 K 3.32-3.62
Au3 0.0501 0.6262 0.2500  8 K 3.32-3.62
Au4 0.4499 0.1262 0.2500  8 K 3.32-3.62


[6]
Ca2ReSe | PBEsol | relaxed

For the calculated volume, the calculation gives 79.4 Å³/cell. The symmetry is F-43m (216). As for the density of states at the Fermi level: 6.64 states/eV/cell. The uncorrected formation energy comes out at 0.453 eV/atom.

Cell lengths 4.8242, 4.8242, 4.8242 Å; angles 60.00, 60.00, 60.00 degrees
Closest atoms and distances in Å follow each position.
Fractional positions:
Ca1 0.7500 0.7500 0.7500  4 Re 2.95, 4 Ca 2.95
Ca2 0.0000 0.0000 0.0000  4 Se 2.95, 4 Ca 2.95
Se1 0.2500 0.2500 0.2500  4 Re 2.95, 4 Ca 2.95
Re1 0.5000 0.5000 0.5000  4 Se 2.95, 4 Ca 2.95


[7]
YBeZn2 | PBEsol | relaxed

For the calculated volume, the calculation gives 68.9 Å³/cell. The symmetry is C2/m (12). As for the density of states at the Fermi level: 2.39 states/eV/cell. The formation energy comes out at 0.279 eV per atom.

Cell lengths 2.8781, 4.8804, 5.6212 Å; angles 114.02, 102.14, 96.05 degrees
Closest atoms and distances in Å follow each position.
Fractional positions:
Be1 0.5000 0.0000 0.0000  4 Y 2.70-2.96, 4 Zn 2.88, 2 Be 2.88
Zn1 0.0000 0.0000 0.5000  6 Zn 2.70-2.96, 2 Be 2.88, 2 Y 2.88
Zn2 0.5000 0.5000 0.5000  6 Zn 2.70-2.96, 2 Y 2.88, 2 Be 2.88
Y1 0.0000 0.5000 0.0000  4 Be 2.70-2.96, 4 Zn 2.88, 2 Y 2.88


[8]
CsPPbSe4 | PBEsol | relaxed

For the calculated volume, the calculation gives 856.2 Å³/cell. The symmetry is Pnma (62). The uncorrected formation energy comes out at -0.554 eV/atom.

Cell lengths 6.7727, 6.9552, 18.1756 Å; angles 90.00, 90.00, 90.00 degrees
Closest atoms and distances in Å follow each position.
Fractional positions:
Se1 0.0847 0.4955 0.1116  1 P 2.22
Se2 0.0341 0.2500 0.3372  1 P 2.20
Se3 0.8542 0.2500 0.5278  1 P 2.21
Se4 0.9153 0.9955 0.8884  1 P 2.22
Se5 0.4153 0.4955 0.6116  1 P 2.22
Se6 0.9153 0.5045 0.8884  1 P 2.22
Se7 0.5341 0.7500 0.1628  1 P 2.20
Se8 0.5847 0.9955 0.3884  1 P 2.22
Se9 0.5847 0.5045 0.3884  1 P 2.22
Se10 0.4659 0.2500 0.8372  1 P 2.20
Se11 0.1458 0.7500 0.4722  1 P 2.21
Se12 0.3542 0.7500 0.9722  1 P 2.21
Se13 0.6458 0.2500 0.0278  1 P 2.21
Se14 0.9659 0.7500 0.6628  1 P 2.20
Se15 0.4153 0.0045 0.6116  1 P 2.22
Se16 0.0847 0.0045 0.1116  1 P 2.22
P1 0.7734 0.2500 0.4098  4 Se 2.20-2.22
P2 0.7266 0.2500 0.9098  4 Se 2.20-2.22
P3 0.2266 0.7500 0.5902  4 Se 2.20-2.22
P4 0.2734 0.7500 0.0902  4 Se 2.20-2.22
Pb1 0.2799 0.2500 0.4781  6 Se 3.02-3.17
Pb2 0.7201 0.7500 0.5219  6 Se 3.02-3.17
Pb3 0.2201 0.2500 0.9781  6 Se 3.02-3.17
Pb4 0.7799 0.7500 0.0219  6 Se 3.02-3.17
Cs1 0.0146 0.2500 0.7141  8 Se 3.56-3.79
Cs2 0.5146 0.7500 0.7859  8 Se 3.56-3.79
Cs3 0.9854 0.7500 0.2859  8 Se 3.56-3.79
Cs4 0.4854 0.2500 0.2141  8 Se 3.56-3.79